## Dy2Be2O5 (GGA-PBE)

Data for a relaxed Dy2Be2O5 crystal.

abc: 3.571 3.571 6.719
angles: 90.00 90.00 90.00
Atoms (fractional coordinates):
Dy (0.000, 0.000, 0.000)
Dy (0.000, 0.000, 0.500)
Be (0.500, 0.500, 0.234)
Be (0.500, 0.500, 0.766)
O (0.000, 0.500, 0.279)
O (0.000, 0.500, 0.721)
O (0.500, 0.000, 0.279)
O (0.500, 0.000, 0.721)
O (0.500, 0.500, 0.000)

Results
ΔE to the lowest computed polymorph: 0.00 kJ/mol of atoms
Uncorrected energy: -7.51 eV per atom